Entry 1:
Density functional theory data (GGA-PBE) for a geometry-optimized Cs2Hg2OsO6 structure.

Geometry as POSCAR:
```
Cs2Hg2OsO6
1.0
7.0914 -0.0981 0.6266
-3.5903 6.1161 0.6266
-0.7956 -1.3675 5.9012
Os O Hg Cs
1 6 2 2
Direct
0.0000 0.0000 0.5000
0.2046 0.2046 0.3193
0.7676 0.9903 0.3165
0.0097 0.2324 0.6835
0.2324 0.0097 0.6835
0.7954 0.7954 0.6807
0.9903 0.7676 0.3165
0.1203 0.8797 0.0000
0.8797 0.1203 0.0000
0.3395 0.6605 0.5000
0.6605 0.3395 0.5000
```

The value obtained for the total energy is -53.47 eV per cell.

Entry 2:
Density functional theory data (GGA-PBE) for a geometry-optimized CsHgP2O structure.

Geometry as POSCAR:
```
CsHgP2O
1.0
-3.1833 -1.5244 -4.4355
-2.0163 -4.3953 2.9576
-3.3169 2.5367 1.5086
P Cs Hg O
2 1 1 1
Direct
0.0000 0.5000 0.0000
0.5000 0.0000 0.0000
0.0000 0.0000 0.0000
0.5000 0.5000 0.5000
0.0000 0.0000 0.5000
```

The value obtained for the total energy is -9.64 eV per cell.

Number 1: D(E_F) 0.148 states/eV per atom. Number 2: D(E_F) 0.721 states/eV per atom.